A relaxed MnCuSeN2 crystal, computed with PBE.

abc: 3.5957 3.5957 5.6831
angles: 90.00 90.00 90.00
Atoms (fractional coordinates):
Mn1 0.0000 0.0000 0.0000
Cu1 0.5000 0.5000 0.5000
Se1 0.5000 0.5000 0.0000
N1 0.0000 0.5000 0.5000
N2 0.5000 0.0000 0.5000

E above lowest polymorph   1209 meV per atom
Total magnetic moment   2.353 μB/f.u.
Volume   14.695 Å³/atom
Uncorrected formation energy   1.759 eV/atom